#A
{"formula": "Pm6Nd4Ho", "functional": "GGA-PBE", "state": "relaxed", "dos_at_fermi_per_ev_cell": 13.10, "volume_a3_per_atom": 36.20, "lattice_angstrom": [[7.639, 0.000, 0.000], [0.000, 7.639, 0.000], [-3.819, -3.819, 6.824]], "species": ["Ho", "Nd", "Nd", "Nd", "Nd", "Pm", "Pm", "Pm", "Pm", "Pm", "Pm"], "fractional_positions": [[0.500, 0.500, 0.000], [0.093, 0.747, 0.839], [0.747, 0.093, 0.839], [0.907, 0.907, 0.161], [0.253, 0.253, 0.161], [0.000, 0.500, 0.000], [0.462, 0.913, 0.374], [0.087, 0.087, 0.626], [0.500, 0.000, 0.000], [0.538, 0.538, 0.626], [0.913, 0.462, 0.374]]}


#B
{"formula": "Pm6Nd4Ho", "functional": "GGA-PBE", "state": "relaxed", "dos_at_fermi_per_ev_cell": 16.89, "volume_a3_per_atom": 35.53, "lattice_angstrom": [[-4.991, 8.046, -2.564], [6.009, -6.661, -3.968], [-1.439, -9.625, 1.226]], "species": ["Nd", "Nd", "Nd", "Nd", "Pm", "Pm", "Pm", "Pm", "Pm", "Pm", "Ho"], "fractional_positions": [[0.621, 0.987, 0.987], [0.379, 0.366, 0.366], [0.000, 0.634, 0.013], [0.000, 0.013, 0.634], [0.500, 0.500, 0.000], [0.351, 0.552, 0.552], [0.500, 0.000, 0.500], [0.000, 0.448, 0.800], [0.649, 0.200, 0.200], [0.000, 0.800, 0.448], [0.000, 0.000, 0.000]]}


Least stable of them? #A.